This record from Alexandria via LeMat-Bulk describes a relaxed TaCdMoO6 crystal. The functional is PBE+U.

```
TaCdMoO6
1.0
4.8651 0.0000 0.0000
0.0000 4.8651 0.0000
0.0000 0.0000 9.6876
Cd O Ta Mo
2 12 2 2
Cartesian
0.0000 0.0000 9.6679
2.4325 2.4325 4.8240
3.5083 3.5083 6.6830
3.3003 3.3003 9.6748
1.3776 1.3776 3.0285
1.0550 3.8101 7.8723
1.5648 1.5648 9.6748
0.8678 3.9973 4.8309
3.9973 0.8678 4.8309
3.7893 1.0758 1.8392
1.3568 1.3568 6.6830
1.0758 3.7893 1.8392
3.4875 3.4875 3.0285
3.8101 1.0550 7.8723
2.4325 2.4325 8.0894
0.0000 0.0000 3.2456
0.0000 0.0000 6.4398
2.4325 2.4325 1.5960
```

Values from the calculation:
Space-group type: P4_2nm, No. 102
Total energy (eV/atom): -7.491